Below is an optimized crystal structure of LiPt, with properties calculated at the GGA-PBEsol level.

Calculated values
magnetization: 0.0000 μB/atom
SG: No. 187
mass density: 12.46 g/cm3
D(E_F): 0.73 states/eV/f.u.
total energy: -10.1 eV per cell

Unit cell a=2.7121 b=2.7121 c=4.2267 alpha=90.00 beta=90.00 gamma=120.00
Fractional coordinates of all 2 atoms:
Li 0.0000 0.0000 0.0000
Pt 0.6667 0.3333 0.5000